SrAlGaI2: optimized geometry, PBE.

Calculated values
Energy relative to the elements, uncorrected (eV per atom): -0.24
Volume (Å³ per cell): 179.74

Unit cell a=5.953 b=5.072 c=5.953 alpha=90.00 beta=90.00 gamma=90.00
Element x y z (fractional)
I  0.000  0.000  0.500
I  0.500  0.000  0.000
Sr  0.500  0.500  0.500
Al  0.000  0.500  0.000
Ga  0.000  0.000  0.000